Entry 1:
# Pm9SmAl2

A relaxed Pm9SmAl2 crystal (GGA-PBE, the Alexandria database).

```
12
Lattice="-1.233 4.160 -2.329 -4.394 -1.925 -1.112 -5.692 5.538 12.906" Properties=species:S:1:pos:R:3 pbc="T T T"
Sm 0.000 0.000 0.000
Pm -5.290 6.627 9.431
Pm -2.814 1.117 -1.720
Pm -3.216 0.029 1.754
Pm -6.870 3.584 10.040
Pm -1.635 3.071 1.145
Pm -3.463 4.849 5.288
Pm -5.043 1.806 5.897
Pm -6.562 4.765 6.779
Pm -4.757 3.008 2.686
Al -1.935 1.882 4.386
Al -3.757 3.656 8.519
```

Calculated values
Its total DFT energy (no corrections) is -4.677 eV per atom. The size of the total moment comes out at 0.0 μB per cell. The calculation puts the formation energy at -0.097 eV per atom. The volume comes out at 367 Å³/f.u.


Entry 2:
# HfReSi

A relaxed HfReSi crystal (GGA-PBE, the Alexandria database).

```
6
Lattice="3.267 0.000 0.000 0.000 4.256 0.000 0.000 0.000 7.010" Properties=species:S:1:pos:R:3 pbc="T T T"
Si 1.634 2.128 1.938
Si 0.000 0.000 5.881
Re 1.634 2.128 6.456
Re 1.634 0.000 3.912
Hf 0.000 2.128 4.090
Hf 0.000 0.000 1.463
```

Calculated values
The value obtained for the uncorrected formation energy is -0.405 eV per atom. Its total DFT energy (no corrections) is -9.680 eV per atom. The size of the total moment comes out at 0.0 μB per cell. The volume comes out at 49 Å³/f.u.